Entry 1:
A relaxed ZrIn2Co crystal, computed with GGA-PBEsol.

Summary:
* magnetic moment: 0.30 μB per atom
* space-group type: R-3m
* density: 8.38 g/cm3
* V: 75.3 Å³/cell
* energy: -5.60 eV/atom

Cell: 9.195 9.195 9.195 Å, 19.43 19.43 19.43°
Sites, in units of the cell vectors:
Zr 0.000 0.000 0.000
In 0.239 0.239 0.239
In 0.761 0.761 0.761
Co 0.500 0.500 0.500

=====

Entry 2:
A relaxed CuReSb2 crystal, computed with GGA-PBEsol.

Summary:
* uncorrected formation energy: 69.0 kJ per mole of atoms
* magnetic moment: 0.00 μB per atom
* space-group type: Cmmm
* density: 10.99 g/cm3
* distance to the lowest polymorph of the same formula: 181.0 meV per atom
* V: 74.5 Å³/cell
* energy: -5.98 eV/atom

Cell: 3.110 3.110 8.280 Å, 90.00 90.00 111.44°
Sites, in units of the cell vectors:
Cu 0.000 0.000 0.000
Re 0.000 0.000 0.500
Sb 0.500 0.500 0.250
Sb 0.500 0.500 0.750

=====

Entry 3:
A relaxed Y2As crystal, computed with GGA-PBEsol.

Summary:
* magnetic moment: 0.00 μB per atom
* space-group type: C2/m
* density: 5.63 g/cm3
* V: 149.0 Å³/cell
* energy: -7.17 eV/atom

Cell: 5.826 5.826 8.029 Å, 118.14 118.14 39.18°
Sites, in units of the cell vectors:
Y 0.078 0.078 0.363
Y 0.338 0.338 0.937
Y 0.662 0.662 0.063
Y 0.922 0.922 0.637
As 0.343 0.343 0.322
As 0.657 0.657 0.678

=====

Copy entry 1 word for word.
A relaxed ZrIn2Co crystal, computed with GGA-PBEsol.

Summary:
* magnetic moment: 0.30 μB per atom
* space-group type: R-3m
* density: 8.38 g/cm3
* V: 75.3 Å³/cell
* energy: -5.60 eV/atom

Cell: 9.195 9.195 9.195 Å, 19.43 19.43 19.43°
Sites, in units of the cell vectors:
Zr 0.000 0.000 0.000
In 0.239 0.239 0.239
In 0.761 0.761 0.761
Co 0.500 0.500 0.500